1.
## CsPuNiCl6 (PBE)

Data for a geometry-optimized CsPuNiCl6 structure.

Computed properties:
Formation energy from raw total energies   -1.50 eV per atom

CIF file:
```
data_CsPuNiCl6
_chemical_formula_sum 'Cs1 Pu1 Ni1 Cl6'
_cell_length_a 6.7265
_cell_length_b 6.7265
_cell_length_c 7.8144
_cell_angle_alpha 90.00
_cell_angle_beta 90.00
_cell_angle_gamma 120.00
_space_group_name_H-M_alt 'P 3 1 2'
_space_group_IT_number 149
_space_group_name_Hall 'P 3 2'
loop_
_atom_site_label
_atom_site_fract_x
_atom_site_fract_y
_atom_site_fract_z
_atom_site_occupancy
Cs1 0.0000 0.0000 0.0000 1
Pu1 0.3333 0.6667 0.5000 1
Ni1 0.6667 0.3333 0.5000 1
Cl1 0.3828 0.0284 0.6838 1
```

***

2.
## SnTePbCl (PBE)

Data for a geometry-optimized SnTePbCl structure.

Computed properties:
Formation energy from raw total energies   -0.36 eV per atom

CIF file:
```
data_SnTePbCl
_chemical_formula_sum 'Sn4 Te4 Pb4 Cl4'
_cell_length_a 7.667
_cell_length_b 7.667
_cell_length_c 7.667
_cell_angle_alpha 90.00
_cell_angle_beta 90.00
_cell_angle_gamma 90.00
_space_group_name_H-M_alt 'F -4 3 m'
_space_group_IT_number 216
_space_group_name_Hall 'F -4 2 3'
loop_
_atom_site_label
_atom_site_fract_x
_atom_site_fract_y
_atom_site_fract_z
_atom_site_occupancy
Sn1 0.000 0.000 0.000 1
Te1 0.250 0.250 0.750 1
Pb1 0.000 0.000 0.500 1
Cl1 0.250 0.250 0.250 1
```

***

3.
## ErAgSnPd (PBE)

Data for a geometry-optimized ErAgSnPd structure.

Computed properties:
ΔE_f   -0.623 eV per atom

CIF file:
```
data_ErAgSnPd
_chemical_formula_sum 'Er4 Ag4 Sn4 Pd4'
_cell_length_a 6.860
_cell_length_b 6.860
_cell_length_c 6.860
_cell_angle_alpha 90.00
_cell_angle_beta 90.00
_cell_angle_gamma 90.00
_space_group_name_H-M_alt 'F -4 3 m'
_space_group_IT_number 216
_space_group_name_Hall 'F -4 2 3'
loop_
_atom_site_label
_atom_site_fract_x
_atom_site_fract_y
_atom_site_fract_z
_atom_site_occupancy
Er1 0.000 0.000 0.000 1
Ag1 0.250 0.250 0.750 1
Sn1 0.000 0.000 0.500 1
Pd1 0.250 0.250 0.250 1
```

***

Q: Which total energy values were calculated for the entries above? A: -5.06 -3.53 -4.78, in eV/atom.